This record from the Alexandria database describes MgTl2O after structural relaxation. The functional is GGA-PBE.

Geometry as POSCAR:
```
MgTl2O
1.0
0.000 3.512 3.512
3.512 0.000 3.512
3.512 3.512 0.000
Mg Tl O
1 2 1
direct
0.000 0.000 0.000
0.250 0.250 0.250
0.750 0.750 0.750
0.500 0.500 0.500
```

Calculated values
Size of the total moment ... 0.000 μB/atom
Offset from the most stable computed form ... 304.7 meV/atom
Total energy ... -11.077 eV for the cell shown
SG ... Fm-3m

***

This record from the Alexandria database describes Mg2TlO after structural relaxation. The functional is GGA-PBE.

Geometry as POSCAR:
```
Mg2TlO
1.0
-3.067 3.067 4.293
3.067 -3.067 4.293
3.067 3.067 -4.293
Mg Tl O
4 2 2
direct
0.375 0.018 0.143
0.768 0.625 0.643
0.875 0.232 0.857
0.982 0.125 0.357
0.250 0.750 0.500
0.500 0.500 0.000
0.000 0.000 0.000
0.750 0.250 0.500
```

Calculated values
Size of the total moment ... 0.000 μB/atom
Offset from the most stable computed form ... 0.0 meV/atom
Total energy ... -30.242 eV for the cell shown
SG ... I-42d

***

This record from the Alexandria database describes Mg3TlO4 after structural relaxation. The functional is GGA-PBE.

Geometry as POSCAR:
```
Mg3TlO4
1.0
6.885 0.000 0.000
0.000 5.962 0.000
0.000 0.000 5.477
Mg Tl O
6 2 8
direct
0.000 0.180 0.000
0.249 0.663 0.002
0.251 0.337 0.502
0.500 0.820 0.500
0.749 0.337 0.502
0.751 0.663 0.002
0.000 0.836 0.509
0.500 0.164 0.009
0.000 0.217 0.637
0.000 0.844 0.056
0.220 0.354 0.139
0.280 0.646 0.639
0.500 0.156 0.556
0.500 0.783 0.137
0.720 0.646 0.639
0.780 0.354 0.139
```

Calculated values
Size of the total moment ... 0.000 μB/atom
Total energy ... -86.745 eV for the cell shown
SG ... Pmn2_1

***

This record from the Alexandria database describes Mg2TlO after structural relaxation. The functional is GGA-PBE.

Geometry as POSCAR:
```
Mg2TlO
1.0
0.000 3.356 3.356
3.356 0.000 3.356
3.356 3.356 0.000
Mg Tl O
2 1 1
direct
0.250 0.250 0.250
0.750 0.750 0.750
0.000 0.000 0.000
0.500 0.500 0.500
```

Calculated values
Size of the total moment ... 0.000 μB/atom
Offset from the most stable computed form ... 1106.8 meV/atom
Total energy ... -10.694 eV for the cell shown
SG ... Fm-3m

***

This record from the Alexandria database describes MgTl3O after structural relaxation. The functional is GGA-PBE.

Geometry as POSCAR:
```
MgTl3O
1.0
5.462 0.000 0.000
0.000 5.462 0.000
0.000 0.000 5.462
Mg Tl O
1 3 1
direct
0.000 0.000 0.000
0.000 0.000 0.500
0.000 0.500 0.000
0.500 0.000 0.000
0.500 0.500 0.500
```

Calculated values
Size of the total moment ... 0.000 μB/atom
Total energy ... -10.820 eV for the cell shown
SG ... Pm-3m

***

This record from the Alexandria database describes MgTl2O4 after structural relaxation. The functional is GGA-PBE.

Geometry as POSCAR:
```
MgTl2O4
1.0
5.670 0.000 0.000
0.000 5.743 0.000
0.000 0.000 11.522
Mg Tl O
4 8 16
direct
0.000 0.000 0.000
0.000 0.500 0.500
0.500 0.000 0.500
0.500 0.500 0.000
0.009 0.054 0.353
0.009 0.446 0.853
0.491 0.554 0.353
0.491 0.946 0.853
0.509 0.054 0.147
0.509 0.446 0.647
0.991 0.554 0.147
0.991 0.946 0.647
0.108 0.067 0.823
0.108 0.433 0.323
0.186 0.189 0.537
0.186 0.311 0.037
0.314 0.689 0.537
0.314 0.811 0.037
0.392 0.567 0.823
0.392 0.933 0.323
0.608 0.067 0.677
0.608 0.433 0.177
0.686 0.189 0.963
0.686 0.311 0.463
0.814 0.689 0.963
0.814 0.811 0.463
0.892 0.567 0.677
0.892 0.933 0.177
```

Calculated values
Size of the total moment ... 0.000 μB/atom
Offset from the most stable computed form ... 12.2 meV/atom
Total energy ... -138.834 eV for the cell shown
SG ... Pbca

***

This record from the Alexandria database describes MgUTl2O6 after structural relaxation. The functional is GGA-PBE.

Geometry as POSCAR:
```
MgUTl2O6
1.0
5.804 0.000 0.000
2.865 5.057 0.000
2.873 1.605 4.795
Mg U Tl O
1 1 2 6
direct
0.000 0.000 0.000
0.500 0.500 0.500
0.236 0.248 0.248
0.764 0.752 0.752
0.198 0.303 0.799
0.202 0.802 0.299
0.344 0.747 0.746
0.656 0.253 0.254
0.798 0.198 0.701
0.802 0.697 0.201
```

Calculated values
Size of the total moment ... 0.000 μB/atom
Total energy ... -66.740 eV for the cell shown
SG ... P-1

***

Which value of total energy does entry 1 give? -11.077 eV for the cell shown